1.
Here is CrNi2Au at its PBEsol-relaxed geometry from Alexandria via LeMat-Bulk. Energies are from SCAN.

```
CrNi2Au
1.0
-1.8228 1.8228 3.7395
1.8228 -1.8228 3.7395
1.8228 1.8228 -3.7395
Cr Ni Au
1 2 1
direct
0.0000 0.0000 0.0000
0.5000 0.5000 0.0000
0.7500 0.2500 0.5000
0.2500 0.7500 0.5000
```

Results
DOS(E_F)	3.85	states/eV/f.u.
formation energy	0.0	eV/f.u.
E	-29.971	eV/atom



2.
Here is Cr2TcNiAu at its PBEsol-relaxed geometry from Alexandria via LeMat-Bulk. Energies are from SCAN.

```
Cr2TcNiAu
1.0
4.7624 0.0000 0.0000
0.0000 4.7624 0.0000
0.0000 0.0000 4.8830
Cr Tc Ni Au
2 1 1 1
direct
0.0000 0.5000 0.0000
0.5000 0.0000 0.0000
0.0000 0.0000 0.5000
0.5000 0.5000 0.5000
0.0000 0.0000 0.0000
```

Results
DOS(E_F)	6.47	states/eV/f.u.
formation energy	8.9	eV/f.u.
E	-29.646	eV/atom



3.
Here is CrP2AuO at its PBEsol-relaxed geometry from Alexandria via LeMat-Bulk. Energies are from SCAN.

```
CrP2AuO
1.0
4.5781 0.0000 0.0000
0.0000 4.5781 0.0000
0.0000 0.0000 3.4389
Cr P Au O
1 2 1 1
direct
0.0000 0.0000 0.0000
0.0000 0.5000 0.0000
0.5000 0.0000 0.0000
0.5000 0.5000 0.5000
0.0000 0.0000 0.5000
```

Results
DOS(E_F)	1.75	states/eV/f.u.
formation energy from raw total energies	-0.15	eV/atom
E	-23.066	eV/atom



4.
Here is ScCrAuO2 at its PBEsol-relaxed geometry from Alexandria via LeMat-Bulk. Energies are from SCAN.

```
ScCrAuO2
1.0
3.6798 0.0000 0.0000
0.0000 3.6798 0.0000
0.0000 0.0000 5.1471
Sc Cr Au O
1 1 1 2
direct
0.0000 0.0000 0.0000
0.5000 0.5000 0.5000
0.5000 0.5000 0.0000
0.0000 0.5000 0.5000
0.5000 0.0000 0.5000
```

Results
DOS(E_F)	2.28	states/eV/f.u.
formation energy from raw total energies	-1.17	eV/atom
E	-24.018	eV/atom



5.
Here is ZnCrAuO2 at its PBEsol-relaxed geometry from Alexandria via LeMat-Bulk. Energies are from SCAN.

```
ZnCrAuO2
1.0
3.5516 0.0000 0.0000
0.0000 3.5516 0.0000
0.0000 0.0000 5.9981
Zn Cr Au O
1 1 1 2
direct
0.0000 0.0000 0.0000
0.0000 0.0000 0.5000
0.5000 0.5000 0.0000
0.0000 0.5000 0.5000
0.5000 0.0000 0.5000
```

Results
DOS(E_F)	1.38	states/eV/f.u.
formation energy from raw total energies	-0.84	eV/atom
E	-23.543	eV/atom



6.
Here is Cr2PAu at its PBEsol-relaxed geometry from Alexandria via LeMat-Bulk. Energies are from SCAN.

```
Cr2PAu
1.0
2.8007 0.0000 0.0000
0.0000 2.8007 0.0000
0.0000 0.0000 6.3958
Cr P Au
2 1 1
direct
0.0000 0.0000 0.2006
0.0000 0.0000 0.7994
0.5000 0.5000 0.0000
0.5000 0.5000 0.5000
```

Results
DOS(E_F)	3.44	states/eV/f.u.
formation energy	-0.2	eV/f.u.
E	-29.123	eV/atom



7.
Here is Y2CrPdAu at its PBEsol-relaxed geometry from Alexandria via LeMat-Bulk. Energies are from SCAN.

```
Y2CrPdAu
1.0
5.2246 0.0000 0.0000
0.0000 5.2246 0.0000
0.0000 0.0000 4.7489
Y Cr Pd Au
2 1 1 1
direct
0.0000 0.5000 0.0000
0.5000 0.0000 0.0000
0.0000 0.0000 0.5000
0.0000 0.0000 0.0000
0.5000 0.5000 0.5000
```

Results
DOS(E_F)	2.72	states/eV/f.u.
formation energy	-0.5	eV/f.u.
E	-35.299	eV/atom



8.
Here is CrPtAu2 at its PBEsol-relaxed geometry from Alexandria via LeMat-Bulk. Energies are from SCAN.

```
CrPtAu2
1.0
0.0000 3.1663 3.1663
3.1663 0.0000 3.1663
3.1663 3.1663 0.0000
Cr Pt Au
1 1 2
direct
0.0000 0.0000 0.0000
0.5000 0.5000 0.5000
0.2500 0.2500 0.2500
0.7500 0.7500 0.7500
```

Results
DOS(E_F)	3.13	states/eV/f.u.
formation energy	-0.3	eV/f.u.
E	-56.795	eV/atom